Entry from Alexandria: a relaxed Ga2ReIr crystal (PBE).

The structure belongs to space group Fm-3m (No. 225); the cell edges are 6.136, 6.136 and 6.136 Å and the angles 90.00°, 90.00° and 90.00°. The inequivalent atoms are Ga at (0.250, 0.250, 0.250), Re at (0.000, 0.000, 0.000) and Ir at (0.000, 0.000, 0.500).

The density of states at the Fermi level is 15.44 states/eV/cell. As for the electronic total energy: -6.836 eV/atom. The value obtained for the energy relative to the lowest polymorph listed for this composition is 0.00 eV/f.u. The energy of formation from the pure elements is 0.01 eV per atom.